Computed, not measured: a relaxed structure of K4RhO4 at the PBE level of DFT.

Cell: 6.3033 6.3033 6.3033 Å, 100.51 100.51 129.43°
Closest atoms and distances in Å follow each position.
Element x y z (fractional)
K1 0.1020 0.2950 0.3970  4 O 2.60-2.75
K2 0.2950 0.8980 0.1930  4 O 2.60-2.75
K3 0.7050 0.1020 0.8070  4 O 2.60-2.75
K4 0.8980 0.7050 0.6030  4 O 2.60-2.75
Rh1 0.5000 0.5000 0.0000  4 O 1.95
O1 0.2689 0.5715 0.8405  1 Rh 1.95
O2 0.4285 0.2689 0.6974  1 Rh 1.95
O3 0.5715 0.7311 0.3026  1 Rh 1.95
O4 0.7311 0.4285 0.1595  1 Rh 1.95

Calculated values
Uncorrected formation energy ... -112.0 kJ per mole of atoms
Symmetry ... I4/m (87)
Magnetization ... 3.001 μB/f.u.
Distance to the lowest polymorph of the same formula ... 0.000 eV per atom

=====

Computed, not measured: a relaxed structure of KRh5O8 at the PBE level of DFT.

Cell: 8.0315 8.0315 7.7367 Å, 107.52 107.52 22.19°
Closest atoms and distances in Å follow each position.
Element x y z (fractional)
K1 0.0000 0.0000 0.0000  8 O 2.89-3.23, 2 K 3.09
Rh1 0.1580 0.1580 0.4544  6 O 2.02-2.25
Rh2 0.2024 0.2024 0.8282  6 O 2.03-2.23
Rh3 0.5000 0.5000 0.5000  6 O 2.04-2.12
Rh4 0.7976 0.7976 0.1718  6 O 2.03-2.23
Rh5 0.8420 0.8420 0.5456  6 O 2.02-2.25
O1 0.0813 0.0813 0.6218  4 Rh 2.02-2.08
O2 0.2644 0.2644 0.3478  5 Rh 2.08-2.25
O3 0.3240 0.3240 0.0252  3 Rh 2.03-2.05
O4 0.4198 0.4198 0.6751  3 Rh 2.04-2.12
O5 0.5802 0.5802 0.3249  3 Rh 2.04-2.12
O6 0.6760 0.6760 0.9748  3 Rh 2.03-2.05
O7 0.7356 0.7356 0.6522  5 Rh 2.08-2.25
O8 0.9187 0.9187 0.3782  4 Rh 2.02-2.08

Calculated values
Uncorrected formation energy ... -69.2 kJ per mole of atoms
Symmetry ... C2/m (12)
Magnetization ... 0.000 μB/f.u.

=====

Computed, not measured: a relaxed structure of K3Rh2O4 at the PBE level of DFT.

Cell: 5.8567 5.8567 10.6473 Å, 108.68 108.68 30.90°
Closest atoms and distances in Å follow each position.
Element x y z (fractional)
K1 0.0000 0.0000 0.0000  4 O 2.65
K2 0.4224 0.4224 0.6015  5 O 2.76-2.85
K3 0.5776 0.5776 0.3985  5 O 2.76-2.85
Rh1 0.2674 0.2674 0.2648  4 O 2.00-2.02
Rh2 0.7326 0.7326 0.7352  4 O 2.00-2.02
O1 0.1320 0.1320 0.6345  2 Rh 2.02
O2 0.3405 0.3405 0.8209  2 Rh 2.00
O3 0.6595 0.6595 0.1791  2 Rh 2.00
O4 0.8680 0.8680 0.3655  2 Rh 2.02

Calculated values
Uncorrected formation energy ... -90.8 kJ per mole of atoms
Symmetry ... C2/m (12)
Magnetization ... 0.001 μB/f.u.

=====

no.,DFT total energy (eV for the cell shown)
1,-42.02
2,-87.55
3,-46.30